Record 1
TiTlS2 | PBE | optimized geometry

Results
N(E_F)	0.0	states/eV per cell
formation energy (no corrections)	-908	meV per atom

Structure (POSCAR):
```
TiTlS2
1.0
6.038 0.000 0.000
0.000 7.010 0.000
-2.691 0.000 12.194
Ti Tl S
4 4 8
Cartesian
0.154 0.034 6.043
-1.191 3.471 12.140
4.538 3.539 0.054
3.192 6.976 6.151
1.308 4.281 3.776
-0.037 6.234 9.872
3.384 0.776 2.321
2.038 2.729 8.418
-1.306 1.007 7.587
0.039 2.498 1.490
1.752 1.441 5.056
0.406 2.063 11.153
2.941 4.946 1.040
1.595 5.568 7.137
3.307 4.512 10.704
4.653 6.003 4.607
```

***

Record 2
TiTl5S4 | PBE | optimized geometry

Results
N(E_F)	5.6	states/eV per cell
formation energy (no corrections)	-558	meV per atom

Structure (POSCAR):
```
TiTl5S4
1.0
8.498 0.000 0.000
0.000 10.138 0.000
0.000 0.000 7.216
Ti Tl S
2 10 8
Cartesian
2.124 2.535 1.073
6.373 7.604 6.143
0.314 5.758 2.023
0.314 9.449 2.023
2.124 7.604 6.541
3.935 5.758 2.023
3.935 9.449 2.023
4.563 0.689 5.193
4.563 4.380 5.193
6.373 2.535 0.675
8.184 0.689 5.193
8.184 4.380 5.193
0.307 2.535 2.435
2.124 0.653 6.949
2.124 4.417 6.949
3.942 2.535 2.435
4.556 7.604 4.781
6.373 5.722 0.267
6.373 9.486 0.267
8.191 7.604 4.781
```

***

Record 3
TiTlS2 | PBE | optimized geometry

Results
N(E_F)	5.0	states/eV per cell
formation energy (no corrections)	-880	meV per atom

Structure (POSCAR):
```
TiTlS2
1.0
-3.987 3.987 3.176
3.987 -3.987 3.176
3.987 3.987 -3.176
Ti Tl S
2 2 4
Cartesian
3.987 0.000 1.588
0.000 3.987 1.588
0.000 0.000 1.588
0.000 0.000 4.763
5.216 1.229 0.000
1.229 2.759 0.000
2.759 1.229 3.176
-1.229 2.759 3.176
```

***

Record 4
TiTlS2 | PBE | optimized geometry

Results
N(E_F)	4.0	states/eV per cell
formation energy (no corrections)	-426	meV per atom

Structure (POSCAR):
```
TiTlS2
1.0
3.867 0.000 0.000
0.000 3.867 0.000
0.000 0.000 5.618
Ti Tl S
1 1 2
Cartesian
0.000 0.000 0.000
1.933 1.933 2.809
0.000 0.000 2.809
1.933 1.933 0.000
```

***

Record 5
Ti2TlS3 | PBE | optimized geometry

Results
N(E_F)	9.5	states/eV per cell
formation energy (no corrections)	-1080	meV per atom

Structure (POSCAR):
```
Ti2TlS3
1.0
1.794 -7.343 0.000
1.794 7.343 0.000
0.000 0.000 9.650
Ti Tl S
4 2 6
Cartesian
0.000 0.000 0.000
0.000 0.000 4.825
1.794 0.668 7.237
1.794 -0.668 2.412
1.794 3.666 2.412
1.794 -3.666 7.237
1.794 6.484 7.237
1.794 1.714 5.157
1.794 1.714 9.317
1.794 -1.714 0.333
1.794 -1.714 4.492
1.794 -6.484 2.412
```

***

Record 6
TiTl3S4 | PBE | optimized geometry

Results
N(E_F)	7.3	states/eV per cell
formation energy (no corrections)	-626	meV per atom

Structure (POSCAR):
```
TiTl3S4
1.0
11.019 0.000 0.000
0.000 6.580 0.000
0.000 0.000 6.480
Ti Tl S
2 6 8
Cartesian
0.000 1.243 0.000
5.509 5.338 3.240
0.000 5.003 3.689
2.759 1.767 3.582
2.750 4.813 0.342
5.509 1.577 0.449
8.260 1.767 3.582
8.268 4.813 0.342
0.000 1.481 4.194
0.000 5.554 0.337
2.048 1.977 0.692
3.461 4.603 3.932
5.509 1.027 3.577
5.509 5.100 0.954
7.557 4.603 3.932
8.971 1.977 0.692
```

***

Record 7
TiTlS2 | PBE | optimized geometry

Results
N(E_F)	8.3	states/eV per cell
formation energy (no corrections)	-927	meV per atom

Structure (POSCAR):
```
TiTlS2
1.0
8.527 0.000 0.000
0.000 3.390 0.000
0.000 0.000 14.122
Ti Tl S
4 4 8
Cartesian
0.119 0.847 1.319
4.144 2.542 8.381
4.383 0.847 5.742
8.408 2.542 12.803
0.457 0.847 8.725
3.807 2.542 1.664
4.720 0.847 12.459
8.070 2.542 5.398
0.994 2.542 2.782
1.500 0.847 13.531
2.764 2.542 6.470
3.269 0.847 9.843
5.258 2.542 4.280
5.763 0.847 7.653
7.027 2.542 0.592
7.532 0.847 11.341
```

***

Record 8
TiTl3S3 | PBE | optimized geometry

Results
N(E_F)	10.1	states/eV per cell
formation energy (no corrections)	-654	meV per atom

Structure (POSCAR):
```
TiTl3S3
1.0
13.855 0.000 0.000
0.000 3.960 0.000
0.000 0.000 14.532
Ti Tl S
4 12 12
Cartesian
0.693 0.990 3.313
6.234 2.970 10.579
7.621 0.990 3.952
13.162 2.970 11.218
1.436 2.970 0.245
1.624 0.990 8.703
3.151 2.970 5.176
3.777 0.990 12.442
5.303 2.970 1.437
5.492 0.990 7.511
8.363 2.970 7.021
8.552 0.990 13.095
10.078 2.970 2.089
10.704 0.990 9.355
12.231 2.970 5.829
12.419 0.990 14.287
0.435 0.990 11.828
0.633 0.990 5.574
2.863 0.990 2.779
4.064 2.970 10.044
6.295 2.970 12.840
6.493 2.970 4.562
7.362 0.990 9.970
7.560 0.990 1.692
9.791 0.990 4.487
10.992 2.970 11.753
13.222 2.970 8.957
13.420 2.970 2.704
```

***

Record 9
Tm2TiTl3S6 | PBE | optimized geometry

Results
N(E_F)	6.3	states/eV per cell
formation energy (no corrections)	-1280	meV per atom

Structure (POSCAR):
```
Tm2TiTl3S6
1.0
3.347 -5.789 0.000
3.347 5.789 0.000
-2.251 0.000 7.529
Tm Ti Tl S
2 1 3 6
Cartesian
3.347 3.870 0.000
3.347 -3.870 0.000
3.347 0.000 0.000
-1.125 0.000 3.765
2.221 1.983 3.765
2.221 -1.983 3.765
0.047 1.818 6.104
1.230 0.000 1.475
0.047 -1.818 6.104
4.395 1.818 1.425
3.213 0.000 6.054
4.395 -1.818 1.425
```

***

Record 10
U2TiTl3S6 | PBE | optimized geometry

Results
N(E_F)	10.2	states/eV per cell
formation energy (no corrections)	-1004	meV per atom

Structure (POSCAR):
```
U2TiTl3S6
1.0
3.317 -5.743 0.000
3.317 5.743 0.000
-2.256 0.000 7.846
U Ti Tl S
2 1 3 6
Cartesian
3.317 3.837 0.000
3.317 -3.837 0.000
3.317 0.000 0.000
-1.128 0.000 3.923
2.189 1.984 3.923
2.189 -1.984 3.923
0.023 1.801 6.373
1.241 0.000 1.501
0.023 -1.801 6.373
4.355 1.801 1.473
3.136 0.000 6.345
4.355 -1.801 1.473
```

***

Record 11
Ti3Tl3VS8 | PBE | optimized geometry

Results
N(E_F)	8.4	states/eV per cell
formation energy (no corrections)	-997	meV per atom

Structure (POSCAR):
```
Ti3Tl3VS8
1.0
6.015 -3.468 0.000
6.015 3.468 0.000
-4.039 0.000 7.897
Ti Tl V S
3 3 1 8
Cartesian
0.000 0.000 0.000
3.008 1.734 0.000
3.008 -1.734 0.000
0.988 1.734 3.948
0.988 -1.734 3.948
3.996 0.000 3.948
6.015 0.000 0.000
2.004 0.000 1.411
5.016 1.727 1.418
-0.020 0.000 6.478
2.976 1.727 6.478
5.016 -1.727 1.418
8.012 0.000 1.418
2.976 -1.727 6.478
5.988 0.000 6.486
```

***

Record 12
TiTl2V2S6 | PBE | optimized geometry

Results
N(E_F)	6.4	states/eV per cell
formation energy (no corrections)	-872	meV per atom

Structure (POSCAR):
```
TiTl2V2S6
1.0
2.988 -5.238 0.000
2.988 5.238 0.000
-2.097 0.000 7.647
Ti Tl V S
1 2 2 6
Cartesian
0.000 0.000 0.000
1.939 3.540 3.823
1.939 -3.540 3.823
2.988 1.850 0.000
2.988 -1.850 0.000
1.013 1.739 1.412
-0.064 0.000 6.307
1.013 -1.739 1.412
2.866 1.739 6.235
3.943 0.000 1.340
2.866 -1.739 6.235
```

***

Record 13
YTiTl2S | PBE | optimized geometry

Results
N(E_F)	3.2	states/eV per cell
formation energy (no corrections)	1061	meV per atom

Structure (POSCAR):
```
YTiTl2S
1.0
5.815 0.000 0.000
0.000 5.815 0.000
0.000 0.000 4.950
Y Ti Tl S
1 1 2 1
Cartesian
0.000 0.000 0.000
0.000 0.000 2.475
0.000 2.907 0.000
2.907 0.000 0.000
2.907 2.907 2.475
```

***

Record 14
Y2TiTlS | PBE | optimized geometry

Results
N(E_F)	5.1	states/eV per cell
formation energy (no corrections)	426	meV per atom

Structure (POSCAR):
```
Y2TiTlS
1.0
5.300 0.000 0.000
0.000 5.300 0.000
0.000 0.000 5.196
Y Ti Tl S
2 1 1 1
Cartesian
0.000 2.650 0.000
2.650 0.000 0.000
0.000 0.000 0.000
0.000 0.000 2.598
2.650 2.650 2.598
```

***

Record 15
Y3TiTl4S8 | PBE | optimized geometry

Results
N(E_F)	6.2	states/eV per cell
formation energy (no corrections)	-1324	meV per atom

Structure (POSCAR):
```
Y3TiTl4S8
1.0
3.937 2.273 7.522
-3.937 2.273 7.522
0.000 -4.547 7.522
Y Ti Tl S
3 1 4 8
Cartesian
-1.969 -1.137 7.522
-1.969 1.137 15.044
0.000 2.273 7.522
0.000 0.000 0.000
-3.937 0.000 11.283
-1.969 1.137 3.761
1.969 1.137 3.761
0.000 0.000 11.283
0.000 -2.411 8.971
-2.088 1.206 8.971
-2.088 -1.206 13.595
0.000 0.000 6.007
0.000 0.000 16.559
2.088 1.206 8.971
2.088 -1.206 13.595
0.000 2.411 13.595
```

***

Record 16
Y2TiTl3S6 | PBE | optimized geometry

Results
N(E_F)	6.3	states/eV per cell
formation energy (no corrections)	-1278	meV per atom

Structure (POSCAR):
```
Y2TiTl3S6
1.0
3.380 -5.848 0.000
3.380 5.848 0.000
-2.274 0.000 7.523
Y Ti Tl S
2 1 3 6
Cartesian
3.380 3.911 0.000
3.380 -3.911 0.000
3.380 0.000 0.000
-1.137 0.000 3.762
2.243 2.010 3.762
2.243 -2.010 3.762
0.062 1.813 6.086
1.266 0.000 1.498
0.062 -1.813 6.086
4.424 1.813 1.437
3.220 0.000 6.026
4.424 -1.813 1.437
```

***

Record 17
TiTl2ZnS4 | PBE | optimized geometry

Results
formation energy (no corrections)	-768	meV per atom

Structure (POSCAR):
```
TiTl2ZnS4
1.0
-3.418 3.418 4.721
3.418 -3.418 4.721
3.418 3.418 -4.721
Ti Tl Zn S
1 2 1 4
Cartesian
0.000 0.000 0.000
0.000 0.000 4.721
0.000 3.418 2.360
3.418 0.000 2.360
1.024 1.664 -1.175
5.172 1.024 1.175
2.394 1.754 3.546
-1.754 2.394 5.895
```

***

Record 18
Zr3TiTl3S8 | PBE | optimized geometry

Results
N(E_F)	8.3	states/eV per cell
formation energy (no corrections)	-1194	meV per atom

Structure (POSCAR):
```
Zr3TiTl3S8
1.0
6.262 -3.613 0.000
6.262 3.613 0.000
-4.197 0.000 8.036
Zr Ti Tl S
3 1 3 8
Cartesian
0.000 0.000 0.000
3.131 1.807 0.000
3.131 -1.807 0.000
6.262 0.000 0.000
1.032 1.807 4.018
1.032 -1.807 4.018
4.163 0.000 4.018
2.088 0.000 1.536
5.254 1.746 1.494
0.047 0.000 6.541
3.073 1.746 6.542
5.254 -1.746 1.494
8.279 0.000 1.494
3.073 -1.746 6.542
6.239 0.000 6.499
```

***

Record 19
Zr2TiTl3S6 | PBE | optimized geometry

Results
N(E_F)	7.9	states/eV per cell
formation energy (no corrections)	-1099	meV per atom

Structure (POSCAR):
```
Zr2TiTl3S6
1.0
3.096 -5.363 0.000
3.096 5.363 0.000
-2.051 0.000 8.444
Zr Ti Tl S
2 1 3 6
Cartesian
3.096 3.576 0.000
3.096 -3.576 0.000
3.096 0.000 0.000
-1.025 0.000 4.222
2.071 1.795 4.222
2.071 -1.795 4.222
0.054 1.717 6.946
1.113 0.000 1.501
0.054 -1.717 6.946
4.088 1.717 1.498
3.029 0.000 6.943
4.088 -1.717 1.498
```

***

Record 20
TmTiS | PBE | optimized geometry

Results
N(E_F)	7.2	states/eV per cell
formation energy (no corrections)	-962	meV per atom

Structure (POSCAR):
```
TmTiS
1.0
1.779 1.027 11.130
-1.779 1.027 11.130
0.000 -2.055 11.130
Tm Ti S
2 2 2
Cartesian
0.000 0.000 4.081
0.000 0.000 29.310
0.000 0.000 9.995
0.000 0.000 23.396
0.000 0.000 13.549
0.000 0.000 19.842
```

***

The calculation returns the following ρ values, one per record and in order: 4.07 6.40 5.20 6.25 5.18 5.58 5.15 6.31 6.78 7.38 5.36 5.21 5.73 5.26 5.71 5.76 4.89 5.44 6.13 6.77 g/cm³.